AlVAsO6, optimized geometry, DFT PBE+U; theoretical density = 4.77 g/cm³; crystal system = tetragonal; size of the total moment = 1.00 μB per formula unit; N(E_F) = 0.00 states/eV per cell; total energy = -7.04 eV per atom
1.0
-4.400 -0.274 0.604
-0.426 -1.944 -3.980
1.001 -7.856 3.731
O Al V As
12 2 2 2
Direct
0.201 0.799 0.830
0.810 0.190 0.497
0.190 0.810 0.497
0.310 0.310 0.997
0.299 0.299 0.330
0.806 0.194 0.173
0.690 0.690 0.997
0.799 0.201 0.830
0.194 0.806 0.173
0.694 0.694 0.673
0.701 0.701 0.330
0.306 0.306 0.673
0.000 0.000 0.668
0.500 0.500 0.168
0.500 0.500 0.500
0.000 0.000 0.000
0.000 0.000 0.333
0.500 0.500 0.833